Record 1
# PmOsNO, relaxed, DFT GGA-PBE
# **Distance to the lowest polymorph of the same formula**: 418 meV/atom
data_PmOsNO
_chemical_formula_sum 'Pm2 Os2 N2 O2'
_space_group_name_H-M_alt 'P m c 21'
_space_group_IT_number 26
_cell_length_a 3.494
_cell_length_b 5.610
_cell_length_c 6.195
_cell_angle_alpha 90.00
_cell_angle_beta 90.00
_cell_angle_gamma 90.00
loop_
_space_group_symop_operation_xyz
'x,y,z'
'-x,-y,z+1/2'
'-x,y,z'
'x,-y,z+1/2'
loop_
_atom_site_label
_atom_site_fract_x
_atom_site_fract_y
_atom_site_fract_z
_atom_site_occupancy
Pm1 0.000 0.217 0.000 1
Os1 0.500 0.314 0.464 1
N1 0.500 0.453 0.202 1
O1 0.000 0.148 0.645 1

=====

Record 2
# PmOsNO, relaxed, DFT GGA-PBE
# **Distance to the lowest polymorph of the same formula**: 323 meV/atom
data_PmOsNO
_chemical_formula_sum 'Pm4 Os4 N4 O4'
_space_group_name_H-M_alt 'P b c m'
_space_group_IT_number 57
_cell_length_a 6.823
_cell_length_b 6.740
_cell_length_c 5.081
_cell_angle_alpha 90.00
_cell_angle_beta 90.00
_cell_angle_gamma 90.00
loop_
_space_group_symop_operation_xyz
'x,y,z'
'-x,-y,-z'
'-x,-y,z+1/2'
'x,y,-z+1/2'
'x,-y+1/2,-z'
'-x,y+1/2,z'
'-x,y+1/2,-z+1/2'
'x,-y+1/2,z+1/2'
loop_
_atom_site_label
_atom_site_fract_x
_atom_site_fract_y
_atom_site_fract_z
_atom_site_occupancy
Pm1 0.179 0.093 0.250 1
Os1 0.322 0.685 0.250 1
N1 0.149 0.032 0.750 1
O1 0.463 0.250 0.000 1

=====

Record 3
# PmOsNO, relaxed, DFT GGA-PBE
# **Distance to the lowest polymorph of the same formula**: 0 meV/atom
data_PmOsNO
_chemical_formula_sum 'Pm2 Os2 N2 O2'
_space_group_name_H-M_alt 'P 4/n m m'
_space_group_IT_number 129
_cell_length_a 3.843
_cell_length_b 3.843
_cell_length_c 7.852
_cell_angle_alpha 90.00
_cell_angle_beta 90.00
_cell_angle_gamma 90.00
loop_
_space_group_symop_operation_xyz
'x,y,z'
'-x,-y,-z'
'-y+1/2,x,z'
'y+1/2,-x,-z'
'-x+1/2,-y+1/2,z'
'x+1/2,y+1/2,-z'
'y,-x+1/2,z'
'-y,x+1/2,-z'
'x+1/2,-y,-z'
'-x+1/2,y,z'
'-y,-x,-z'
'y,x,z'
'-x,y+1/2,-z'
'x,-y+1/2,z'
'y+1/2,x+1/2,-z'
'-y+1/2,-x+1/2,z'
loop_
_atom_site_label
_atom_site_fract_x
_atom_site_fract_y
_atom_site_fract_z
_atom_site_occupancy
Pm1 0.250 0.250 0.156 1
Os1 0.250 0.750 0.500 1
N1 0.250 0.250 0.619 1
O1 0.250 0.750 0.000 1

=====

Record 4
# PmOsNO, relaxed, DFT GGA-PBE
# **Distance to the lowest polymorph of the same formula**: 753 meV/atom
data_PmOsNO
_chemical_formula_sum 'Pm2 Os2 N2 O2'
_space_group_name_H-M_alt 'P 4/n m m'
_space_group_IT_number 129
_cell_length_a 5.054
_cell_length_b 5.054
_cell_length_c 4.317
_cell_angle_alpha 90.00
_cell_angle_beta 90.00
_cell_angle_gamma 90.00
loop_
_space_group_symop_operation_xyz
'x,y,z'
'-x,-y,-z'
'-y+1/2,x,z'
'y+1/2,-x,-z'
'-x+1/2,-y+1/2,z'
'x+1/2,y+1/2,-z'
'y,-x+1/2,z'
'-y,x+1/2,-z'
'x+1/2,-y,-z'
'-x+1/2,y,z'
'-y,-x,-z'
'y,x,z'
'-x,y+1/2,-z'
'x,-y+1/2,z'
'y+1/2,x+1/2,-z'
'-y+1/2,-x+1/2,z'
loop_
_atom_site_label
_atom_site_fract_x
_atom_site_fract_y
_atom_site_fract_z
_atom_site_occupancy
Pm1 0.250 0.750 0.000 1
Os1 0.250 0.250 0.498 1
N1 0.250 0.250 0.997 1
O1 0.250 0.750 0.500 1

=====

Record 5
# RbOsNO, relaxed, DFT GGA-PBE
# **Distance to the lowest polymorph of the same formula**: 848 meV/atom
data_RbOsNO
_chemical_formula_sum 'Rb2 Os2 N2 O2'
_space_group_name_H-M_alt 'P 4/n m m'
_space_group_IT_number 129
_cell_length_a 3.636
_cell_length_b 3.636
_cell_length_c 10.453
_cell_angle_alpha 90.00
_cell_angle_beta 90.00
_cell_angle_gamma 90.00
loop_
_space_group_symop_operation_xyz
'x,y,z'
'-x,-y,-z'
'-y+1/2,x,z'
'y+1/2,-x,-z'
'-x+1/2,-y+1/2,z'
'x+1/2,y+1/2,-z'
'y,-x+1/2,z'
'-y,x+1/2,-z'
'x+1/2,-y,-z'
'-x+1/2,y,z'
'-y,-x,-z'
'y,x,z'
'-x,y+1/2,-z'
'x,-y+1/2,z'
'y+1/2,x+1/2,-z'
'-y+1/2,-x+1/2,z'
loop_
_atom_site_label
_atom_site_fract_x
_atom_site_fract_y
_atom_site_fract_z
_atom_site_occupancy
Rb1 0.250 0.250 0.189 1
Os1 0.250 0.750 0.500 1
N1 0.250 0.250 0.601 1
O1 0.250 0.750 0.000 1

=====

Record 6
# RbOsNO, relaxed, DFT GGA-PBE
# **Distance to the lowest polymorph of the same formula**: 837 meV/atom
data_RbOsNO
_chemical_formula_sum 'Rb2 Os2 N2 O2'
_space_group_name_H-M_alt 'P 4/n m m'
_space_group_IT_number 129
_cell_length_a 3.665
_cell_length_b 3.665
_cell_length_c 10.624
_cell_angle_alpha 90.00
_cell_angle_beta 90.00
_cell_angle_gamma 90.00
loop_
_space_group_symop_operation_xyz
'x,y,z'
'-x,-y,-z'
'-y+1/2,x,z'
'y+1/2,-x,-z'
'-x+1/2,-y+1/2,z'
'x+1/2,y+1/2,-z'
'y,-x+1/2,z'
'-y,x+1/2,-z'
'x+1/2,-y,-z'
'-x+1/2,y,z'
'-y,-x,-z'
'y,x,z'
'-x,y+1/2,-z'
'x,-y+1/2,z'
'y+1/2,x+1/2,-z'
'-y+1/2,-x+1/2,z'
loop_
_atom_site_label
_atom_site_fract_x
_atom_site_fract_y
_atom_site_fract_z
_atom_site_occupancy
Rb1 0.250 0.250 0.185 1
Os1 0.250 0.750 0.500 1
N1 0.250 0.250 0.596 1
O1 0.250 0.750 0.000 1

=====

Number 1: energy -8.09 eV per atom. Number 2: energy -8.18 eV per atom. Number 3: energy -8.51 eV per atom. Number 4: energy -7.75 eV per atom. Number 5: energy -5.91 eV per atom. Number 6: energy -5.93 eV per atom.